No. 1
Tb8Ho2Cd | Alexandria via LeMat-Bulk | PBE-GGA | relaxed; energy relative to the elements = 48 kJ/mol of formula units; E above lowest polymorph = 55 meV/atom
1.0
5.390 0.000 0.000
0.000 8.292 -0.148
-2.695 -3.660 7.730
Tb Ho Cd
8 2 1
Cartesian
0.000 1.819 6.018
2.695 6.259 2.461
2.695 4.138 5.147
2.695 -1.220 7.381
0.000 0.494 2.434
0.000 -1.628 5.120
2.695 2.813 1.564
0.000 5.852 0.201
2.695 0.721 4.570
0.000 3.910 3.011
2.695 0.000 0.000



No. 2
Tb5HoCd4 | Alexandria via LeMat-Bulk | PBE-GGA | relaxed; energy relative to the elements = -229 kJ/mol of formula units
1.0
3.705 0.000 0.000
0.000 3.705 0.000
0.000 0.000 20.197
Tb Ho Cd
5 1 4
Cartesian
1.852 1.852 2.408
1.852 1.852 6.277
1.852 1.852 10.098
1.852 1.852 13.920
1.852 1.852 17.789
0.000 0.000 0.000
0.000 0.000 4.329
0.000 0.000 8.180
0.000 0.000 12.017
0.000 0.000 15.868



No. 3
Tb3Ho7Cd | Alexandria via LeMat-Bulk | PBE-GGA | relaxed; energy relative to the elements = 173 kJ/mol of formula units
1.0
-1.593 -6.138 -5.657
6.752 -1.504 -0.270
-4.074 -3.185 4.603
Tb Ho Cd
3 7 1
Cartesian
0.106 -7.157 -2.280
2.124 -5.580 -4.560
3.450 -7.902 -2.414
-2.456 -3.650 3.099
-0.427 -2.064 0.807
2.961 -2.765 0.708
4.206 -4.525 -1.966
0.889 -3.787 -1.833
2.204 -6.090 0.295
0.906 -4.399 2.964
-1.174 -5.353 0.464



No. 4
Tb5Ho4Cd | Alexandria via LeMat-Bulk | PBE-GGA | relaxed; energy relative to the elements = 53 kJ/mol of formula units; E above lowest polymorph = 0 meV/atom
1.0
-2.293 2.880 1.715
-0.912 -2.535 3.039
14.771 6.094 9.515
Tb Ho Cd
5 4 1
Cartesian
-0.241 0.734 3.254
2.794 1.986 5.209
5.783 3.220 7.134
8.773 4.453 9.060
11.807 5.705 11.015
2.937 1.212 1.892
5.887 2.429 3.792
8.884 3.665 5.723
11.834 4.882 7.623
0.000 0.000 0.000



- The highest energy relative to the elements belongs to which entry?
  Tb3Ho7Cd



- The lowest energy relative to the elements belongs to which entry?
  Tb5HoCd4



- Which formula does entry 3 have?
  Tb3Ho7Cd